Pu2Ga12Ru | Alexandria | PBE | optimized geometry; space-group type = P4/nbm, No. 125; formation energy from the elements = -263 meV/atom; volume = 19.06 A^3/atom
1.0
6.0133 0.0000 0.0000
0.0000 6.0133 0.0000
0.0000 0.0000 15.8169
Pu Ga Ru
4 24 2
Direct
0.2500 0.7500 0.2412
0.2500 0.7500 0.7588
0.7500 0.2500 0.2412
0.7500 0.2500 0.7588
0.0001 0.9999 0.0887
0.9999 0.0001 0.9113
0.9999 0.4999 0.0887
0.0001 0.5001 0.9113
0.0801 0.5801 0.4300
0.0801 0.9199 0.5700
0.2500 0.2500 0.1914
0.2500 0.2500 0.3444
0.2500 0.2500 0.6556
0.2500 0.2500 0.8086
0.4199 0.5801 0.5700
0.4199 0.9199 0.4300
0.5001 0.0001 0.0887
0.4999 0.9999 0.9113
0.4999 0.5001 0.0887
0.5001 0.4999 0.9113
0.5801 0.0801 0.5700
0.5801 0.4199 0.4300
0.7500 0.7500 0.1914
0.7500 0.7500 0.3444
0.7500 0.7500 0.6556
0.7500 0.7500 0.8086
0.9199 0.0801 0.4300
0.9199 0.4199 0.5700
0.2500 0.7500 0.0000
0.7500 0.2500 0.0000